P:
RbNaHg6 | GGA-PBE | relaxed

POSCAR file:
```
RbNaHg6
1.0
6.2725 0.0000 0.0000
0.0000 6.2725 0.0000
0.0000 0.0000 6.2725
Rb Na Hg
1 1 6
Direct
0.0000 0.0000 0.0000 Rb
0.5000 0.5000 0.5000 Na
0.0000 0.2618 0.5000 Hg
0.0000 0.7382 0.5000 Hg
0.2618 0.5000 0.0000 Hg
0.5000 0.0000 0.2618 Hg
0.5000 0.0000 0.7382 Hg
0.7382 0.5000 0.0000 Hg
```

Properties
Calculated volume: 247 Å³ per cell

---

Q:
RbNaHg6 | GGA-PBE | relaxed

POSCAR file:
```
RbNaHg6
1.0
5.2761 0.0000 0.0000
0.0000 3.6674 6.3253
0.0000 -3.6674 6.3253
Rb Na Hg
1 1 6
Direct
0.0000 0.0000 0.0000 Rb
0.5000 0.6706 0.6706 Na
0.0000 0.5063 0.9884 Hg
0.0000 0.5104 0.5104 Hg
0.0000 0.9884 0.5063 Hg
0.5000 0.1862 0.1862 Hg
0.5000 0.1893 0.6293 Hg
0.5000 0.6293 0.1893 Hg
```

Properties
Calculated volume: 245 Å³ per cell

---

Most stable: Q. Least stable: P.

---

P:
Rb3NaHg3 | GGA-PBE | relaxed

POSCAR file:
```
Rb3NaHg3
1.0
6.8441 -2.6644 0.0000
6.8441 2.6644 0.0000
-6.2939 0.0000 16.7629
Rb Na Hg
6 2 6
Direct
0.0176 0.0176 0.3767 Rb
0.1078 0.1078 0.9236 Rb
0.2489 0.2489 0.2288 Rb
0.7511 0.7511 0.7712 Rb
0.8922 0.8922 0.0764 Rb
0.9824 0.9824 0.6233 Rb
0.2612 0.2612 0.5861 Na
0.7388 0.7388 0.4139 Na
0.3799 0.3799 0.4586 Hg
0.4019 0.4019 0.9210 Hg
0.4500 0.4500 0.7662 Hg
0.5500 0.5500 0.2338 Hg
0.5981 0.5981 0.0790 Hg
0.6201 0.6201 0.5414 Hg
```

Properties
Calculated volume: 611 Å³ per cell

---

Q:
Rb3NaHg3 | GGA-PBE | relaxed

POSCAR file:
```
Rb3NaHg3
1.0
9.9172 0.0000 0.0000
0.0000 9.9172 0.0000
0.0000 0.0000 9.9172
Rb Na Hg
6 2 6
Direct
0.0000 0.2500 0.5000 Rb
0.0000 0.7500 0.5000 Rb
0.2500 0.5000 0.0000 Rb
0.5000 0.0000 0.2500 Rb
0.5000 0.0000 0.7500 Rb
0.7500 0.5000 0.0000 Rb
0.0000 0.0000 0.0000 Na
0.5000 0.5000 0.5000 Na
0.0000 0.5000 0.2500 Hg
0.0000 0.5000 0.7500 Hg
0.2500 0.0000 0.5000 Hg
0.5000 0.2500 0.0000 Hg
0.5000 0.7500 0.0000 Hg
0.7500 0.0000 0.5000 Hg
```

Properties
Calculated volume: 975 Å³ per cell

---

Most stable: P. Least stable: Q.

---

P:
Rb2Na4Hg | GGA-PBE | relaxed

POSCAR file:
```
Rb2Na4Hg
1.0
-3.0031 3.0031 10.2200
3.0031 -3.0031 10.2200
3.0031 3.0031 -10.2200
Rb Na Hg
2 4 1
Direct
0.1488 0.1488 0.0000 Rb
0.8512 0.8512 0.0000 Rb
0.0000 0.5000 0.5000 Na
0.3526 0.3526 0.0000 Na
0.5000 0.0000 0.5000 Na
0.6474 0.6474 0.0000 Na
0.5000 0.5000 0.0000 Hg
```

Properties
Calculated volume: 369 Å³ per cell

---

Q:
Rb2Na4Hg | GGA-PBE | relaxed

POSCAR file:
```
Rb2Na4Hg
1.0
-7.4495 7.4495 3.1178
7.4495 -7.4495 3.1178
7.4495 7.4495 -3.1178
Rb Na Hg
4 8 2
Direct
0.1328 0.6328 0.7657 Rb
0.3672 0.1328 0.5000 Rb
0.6328 0.8672 0.5000 Rb
0.8672 0.3672 0.2343 Rb
0.0776 0.1725 0.2501 Na
0.1725 0.9224 0.0950 Na
0.3275 0.4224 0.7499 Na
0.4224 0.6725 0.0950 Na
0.5776 0.3275 0.9050 Na
0.6725 0.5776 0.2501 Na
0.8275 0.0776 0.9050 Na
0.9224 0.8275 0.7499 Na
0.2500 0.2500 0.0000 Hg
0.7500 0.7500 0.0000 Hg
```

Properties
Calculated volume: 692 Å³ per cell

---

Most stable: Q. Least stable: P.

---

P:
RbNaHg2Sb | GGA-PBE | relaxed

POSCAR file:
```
RbNaHg2Sb
1.0
5.9093 0.0000 0.0000
0.0000 5.9093 0.0000
0.0000 0.0000 5.7904
Rb Na Hg Sb
1 1 2 1
Direct
0.0000 0.0000 0.0000 Rb
0.5000 0.5000 0.0000 Na
0.0000 0.5000 0.5000 Hg
0.5000 0.0000 0.5000 Hg
0.5000 0.5000 0.5000 Sb
```

Properties
Calculated volume: 202 Å³ per cell

---

Q:
RbNaHg2Sb | GGA-PBE | relaxed

POSCAR file:
```
RbNaHg2Sb
1.0
-2.4720 2.6245 6.4261
2.4720 -2.6245 6.4261
2.4720 2.6245 -6.4261
Rb Na Hg Sb
1 1 2 1
Direct
0.0000 0.0000 0.0000 Rb
0.2377 0.7377 0.5000 Na
0.3872 0.3872 0.0000 Hg
0.7491 0.2491 0.5000 Hg
0.6161 0.6161 0.0000 Sb
```

Properties
Calculated volume: 167 Å³ per cell

---

Most stable: Q. Least stable: P.

---

P:
RbNa2HgSb | GGA-PBE | relaxed

POSCAR file:
```
RbNa2HgSb
1.0
5.9683 0.0000 0.0000
0.0000 5.9683 0.0000
0.0000 0.0000 5.9778
Rb Na Hg Sb
1 2 1 1
Direct
0.0000 0.0000 0.0000 Rb
0.0000 0.5000 0.5000 Na
0.5000 0.0000 0.5000 Na
0.5000 0.5000 0.0000 Hg
0.5000 0.5000 0.5000 Sb
```

Properties
Calculated volume: 213 Å³ per cell

---

Q:
RbNa2HgSb | GGA-PBE | relaxed

POSCAR file:
```
RbNa2HgSb
1.0
5.9503 0.0000 0.0000
0.0000 5.9503 0.0000
0.0000 0.0000 7.1431
Rb Na Hg Sb
1 2 1 1
Direct
0.0000 0.0000 0.0000 Rb
0.0000 0.5000 0.5000 Na
0.5000 0.0000 0.5000 Na
0.5000 0.5000 0.0000 Hg
0.0000 0.0000 0.5000 Sb
```

Properties
Calculated volume: 253 Å³ per cell

---

Most stable: Q. Least stable: P.

---

P:
RbNaTl2Hg | GGA-PBE | relaxed

POSCAR file:
```
RbNaTl2Hg
1.0
5.8795 0.0000 0.0000
0.0000 5.8795 0.0000
0.0000 0.0000 5.9174
Rb Na Tl Hg
1 1 2 1
Direct
0.0000 0.0000 0.0000 Rb
0.5000 0.5000 0.0000 Na
0.0000 0.5000 0.5000 Tl
0.5000 0.0000 0.5000 Tl
0.5000 0.5000 0.5000 Hg
```

Properties
Calculated volume: 205 Å³ per cell

---

Q:
RbNaTl2Hg | GGA-PBE | relaxed

POSCAR file:
```
RbNaTl2Hg
1.0
-2.5370 2.6469 6.7018
2.5370 -2.6469 6.7018
2.5370 2.6469 -6.7018
Rb Na Tl Hg
1 1 2 1
Direct
0.0000 0.0000 0.0000 Rb
0.2407 0.7407 0.5000 Na
0.3835 0.3835 0.0000 Tl
0.7501 0.2501 0.5000 Tl
0.6116 0.6116 0.0000 Hg
```

Properties
Calculated volume: 180 Å³ per cell

---

Most stable: Q. Least stable: P.